Entry 1:
Material: Ce2NdThAs4
Method: DFT, PBE
State: optimized geometry

Cell lengths 7.342, 4.245, 7.357 Å; angles 90.00, 109.47, 90.00 degrees
Positions (direct):
1 Ce 0.000 0.000 0.000
2 Ce 0.500 0.500 0.000
3 Nd 0.000 0.500 0.500
4 Th 0.500 0.000 0.500
5 As 0.251 0.500 0.248
6 As 0.253 0.000 0.754
7 As 0.747 0.000 0.246
8 As 0.749 0.500 0.752

Values from the calculation:
DOS(E_F): 12.3 states/eV per cell
uncorrected energy: -54.31 eV for the cell shown
formation energy from the elements: -1.457 eV per atom

---

Entry 2:
Material: CeNd4Th3As8
Method: DFT, PBE
State: optimized geometry

Cell lengths 8.518, 8.518, 8.518 Å; angles 60.06, 60.06, 60.06 degrees
Positions (direct):
1 Ce 0.000 0.000 0.000
2 Nd 0.000 0.000 0.500
3 Nd 0.000 0.500 0.000
4 Nd 0.500 0.000 0.000
5 Nd 0.500 0.500 0.500
6 Th 0.000 0.500 0.500
7 Th 0.500 0.000 0.500
8 Th 0.500 0.500 0.000
9 As 0.248 0.248 0.749
10 As 0.248 0.749 0.248
11 As 0.251 0.251 0.251
12 As 0.251 0.752 0.752
13 As 0.749 0.248 0.248
14 As 0.749 0.749 0.749
15 As 0.752 0.251 0.752
16 As 0.752 0.752 0.251

Values from the calculation:
DOS(E_F): 11.2 states/eV per cell
uncorrected energy: -108.16 eV for the cell shown
formation energy from the elements: -1.481 eV per atom

---

Entry 3:
Material: Ce2Nd3ThAs6
Method: DFT, PBE
State: optimized geometry

Cell lengths 7.367, 7.367, 7.363 Å; angles 99.60, 99.60, 120.02 degrees
Positions (direct):
1 Ce 0.167 0.833 0.000
2 Ce 0.833 0.167 0.000
3 Nd 0.000 0.000 0.500
4 Nd 0.333 0.667 0.500
5 Nd 0.667 0.333 0.500
6 Th 0.500 0.500 0.000
7 As 0.084 0.418 0.755
8 As 0.248 0.248 0.245
9 As 0.418 0.084 0.755
10 As 0.582 0.916 0.245
11 As 0.752 0.752 0.755
12 As 0.916 0.582 0.245

Values from the calculation:
DOS(E_F): 12.8 states/eV per cell
uncorrected energy: -79.30 eV for the cell shown
formation energy from the elements: -1.484 eV per atom

---

Entry 4:
Material: CeNd3Tm2As6
Method: DFT, PBE
State: optimized geometry

Cell lengths 7.256, 7.256, 7.271 Å; angles 99.58, 99.58, 120.00 degrees
Positions (direct):
1 Ce 0.000 0.000 0.000
2 Nd 0.166 0.834 0.500
3 Nd 0.500 0.500 0.500
4 Nd 0.834 0.166 0.500
5 Tm 0.333 0.667 0.000
6 Tm 0.667 0.333 0.000
7 As 0.080 0.416 0.239
8 As 0.257 0.257 0.762
9 As 0.416 0.080 0.239
10 As 0.584 0.920 0.761
11 As 0.743 0.743 0.238
12 As 0.920 0.584 0.761

Values from the calculation:
DOS(E_F): 5.6 states/eV per cell
uncorrected energy: -74.98 eV for the cell shown
formation energy from the elements: -1.492 eV per atom

---

Entry 5:
Material: Ce2Nd3TmAs6
Method: DFT, PBE
State: optimized geometry

Cell lengths 7.300, 7.300, 7.313 Å; angles 99.58, 99.58, 120.00 degrees
Positions (direct):
1 Ce 0.166 0.834 0.000
2 Ce 0.834 0.166 0.000
3 Nd 0.000 0.000 0.500
4 Nd 0.333 0.667 0.500
5 Nd 0.667 0.333 0.500
6 Tm 0.500 0.500 0.000
7 As 0.089 0.420 0.759
8 As 0.250 0.250 0.242
9 As 0.420 0.089 0.759
10 As 0.580 0.911 0.241
11 As 0.750 0.750 0.758
12 As 0.911 0.580 0.241

Values from the calculation:
DOS(E_F): 11.7 states/eV per cell
uncorrected energy: -76.33 eV for the cell shown
formation energy from the elements: -1.482 eV per atom

---

Entry 6:
Material: Ce3NdTm2As6
Method: DFT, PBE
State: optimized geometry

Cell lengths 7.239, 7.239, 7.223 Å; angles 99.63, 99.63, 120.00 degrees
Positions (direct):
1 Ce 0.000 0.000 0.000
2 Ce 0.335 0.665 0.000
3 Ce 0.665 0.335 0.000
4 Nd 0.500 0.500 0.500
5 Tm 0.167 0.833 0.500
6 Tm 0.833 0.167 0.500
7 As 0.077 0.417 0.253
8 As 0.241 0.241 0.745
9 As 0.417 0.077 0.253
10 As 0.583 0.923 0.747
11 As 0.759 0.759 0.255
12 As 0.923 0.583 0.747

Values from the calculation:
DOS(E_F): 17.0 states/eV per cell
uncorrected energy: -76.92 eV for the cell shown
formation energy from the elements: -1.460 eV per atom

---

| no. | magnetization (μB per atom) |
| --- | --- |
| 1 | 0.1902 |
| 2 | 0.0548 |
| 3 | 0.1138 |
| 4 | 0.0375 |
| 5 | 0.0929 |
| 6 | 0.1607 |